Record 1
An optimized crystal structure of Dy3Ho2Tm6. Source: Alexandria via LeMat-Bulk, functional PBE.

Results
Total DFT energy (no corrections)   -4.502 eV per atom
Magnetization   0.000 μB/atom
Energy of formation   0.025 eV/atom

Geometry as CIF:
```
data_Dy3Ho2Tm6
_chemical_formula_sum 'Dy9 Ho6 Tm18'
_symmetry_space_group_name_H-M 'R -3 m'
_symmetry_Int_Tables_number 166
_symmetry_space_group_name_Hall '-R 3 2"'
_cell_length_a 3.5057
_cell_length_b 3.5057
_cell_length_c 94.0476
_cell_angle_alpha 90.00
_cell_angle_beta 90.00
_cell_angle_gamma 120.00
loop_
_atom_site_label
_atom_site_fract_x
_atom_site_fract_y
_atom_site_fract_z
Dy1 0.0000 0.0000 0.0000
Dy2 0.0000 0.0000 0.2726
Ho1 0.0000 0.0000 0.4547
Tm1 0.0000 0.0000 0.0911
Tm2 0.0000 0.0000 0.1817
Tm3 0.0000 0.0000 0.3637
```


Record 2
An optimized crystal structure of Al2Hg2I7. Source: Alexandria via LeMat-Bulk, functional PBE.

Results
Total DFT energy (no corrections)   -2.129 eV per atom
Uncorrected formation energy   -0.407 eV per atom
Magnetization   0.000 μB/atom

Geometry as CIF:
```
data_Al2Hg2I7
_chemical_formula_sum 'Al4 Hg4 I14'
_symmetry_space_group_name_H-M 'C 1 2/m 1'
_symmetry_Int_Tables_number 12
_cell_length_a 11.251
_cell_length_b 13.773
_cell_length_c 7.271
_cell_angle_alpha 90.00
_cell_angle_beta 98.17
_cell_angle_gamma 90.00
loop_
_symmetry_equiv_pos_as_xyz
'x,y,z'
'-x,-y,-z'
'-x,y,-z'
'x,-y,z'
'x+1/2,y+1/2,z'
'-x+1/2,-y+1/2,-z'
'-x+1/2,y+1/2,-z'
'x+1/2,-y+1/2,z'
loop_
_atom_site_label
_atom_site_fract_x
_atom_site_fract_y
_atom_site_fract_z
Al1 0.226 0.000 0.408
Hg1 0.000 0.300 0.000
I1 0.000 0.000 0.500
I2 0.136 0.500 0.286
I3 0.238 0.155 0.220
```


Record 3
An optimized crystal structure of BaNa2Mo. Source: Alexandria via LeMat-Bulk, functional PBE.

Results
Total DFT energy (no corrections)   -2.874 eV per atom
Magnetization   0.994 μB/atom
Energy of formation   0.974 eV/atom

Geometry as CIF:
```
data_BaNa2Mo
_chemical_formula_sum 'Ba4 Na8 Mo4'
_symmetry_space_group_name_H-M 'F m -3 m'
_symmetry_Int_Tables_number 225
_symmetry_space_group_name_Hall '-F 4 2 3'
_cell_length_a 8.169
_cell_length_b 8.169
_cell_length_c 8.169
_cell_angle_alpha 90.00
_cell_angle_beta 90.00
_cell_angle_gamma 90.00
loop_
_atom_site_label
_atom_site_fract_x
_atom_site_fract_y
_atom_site_fract_z
Ba1 0.000 0.000 0.000
Na1 0.250 0.250 0.250
Mo1 0.000 0.000 0.500
```